The following is a DFT calculation (PBE) of crystalline NdPuPt2 at its relaxed geometry.

```
data_NdPuPt2
_chemical_formula_sum 'Nd2 Pu2 Pt4'
_cell_length_a 4.425
_cell_length_b 3.911
_cell_length_c 10.975
_cell_angle_alpha 90.00
_cell_angle_beta 90.00
_cell_angle_gamma 90.00
_symmetry_space_group_name_H-M 'A m m 2'
_symmetry_Int_Tables_number 38
loop_
_symmetry_equiv_pos_as_xyz
'x,y,z'
'-x,-y,z'
'-x,y,z'
'x,-y,z'
'x,y+1/2,z+1/2'
'-x,-y+1/2,z+1/2'
'-x,y+1/2,z+1/2'
'x,-y+1/2,z+1/2'
loop_
_atom_site_label
_atom_site_type_symbol
_atom_site_fract_x
_atom_site_fract_y
_atom_site_fract_z
Nd1 Nd 0.000 0.000 0.000
Pu1 Pu 0.500 0.000 0.724
Pt1 Pt 0.000 0.000 0.269
Pt2 Pt 0.500 0.000 0.448
```

Values from the calculation:
**E_form**: -0.998 eV per atom


The following is a DFT calculation (PBE) of crystalline RbNdPt at its relaxed geometry.

```
data_RbNdPt
_chemical_formula_sum 'Rb3 Nd3 Pt3'
_cell_length_a 4.5150
_cell_length_b 4.5150
_cell_length_c 18.1650
_cell_angle_alpha 90.00
_cell_angle_beta 90.00
_cell_angle_gamma 120.00
_symmetry_space_group_name_H-M 'P 3 m 1'
_symmetry_Int_Tables_number 156
loop_
_symmetry_equiv_pos_as_xyz
'x,y,z'
'-y,x-y,z'
'-x+y,-x,z'
'-y,-x,z'
'-x+y,y,z'
'x,x-y,z'
loop_
_atom_site_label
_atom_site_type_symbol
_atom_site_fract_x
_atom_site_fract_y
_atom_site_fract_z
Rb1 Rb 0.0000 0.0000 0.0000
Rb2 Rb 0.0000 0.0000 0.3301
Rb3 Rb 0.6667 0.3333 0.6667
Nd1 Nd 0.3333 0.6667 0.1579
Nd2 Nd 0.3333 0.6667 0.4931
Nd3 Nd 0.3333 0.6667 0.8291
Pt1 Pt 0.0000 0.0000 0.5542
Pt2 Pt 0.6667 0.3333 0.2179
Pt3 Pt 0.6667 0.3333 0.8900
```

Values from the calculation:
**Energy relative to the lowest polymorph listed for this composition**: 0.00 kcal/mol of atoms


The following is a DFT calculation (PBE) of crystalline RbNdPt at its relaxed geometry.

```
data_RbNdPt
_chemical_formula_sum 'Rb4 Nd4 Pt4'
_cell_length_a 7.290
_cell_length_b 7.290
_cell_length_c 7.290
_cell_angle_alpha 90.00
_cell_angle_beta 90.00
_cell_angle_gamma 90.00
_symmetry_space_group_name_H-M 'F -4 3 m'
_symmetry_Int_Tables_number 216
_symmetry_space_group_name_Hall 'F -4 2 3'
loop_
_atom_site_label
_atom_site_type_symbol
_atom_site_fract_x
_atom_site_fract_y
_atom_site_fract_z
Rb1 Rb 0.000 0.000 0.000
Nd1 Nd 0.000 0.000 0.500
Pt1 Pt 0.250 0.250 0.750
```

Values from the calculation:
**Energy relative to the lowest polymorph listed for this composition**: 3.21 kcal/mol of atoms


The following is a DFT calculation (PBE) of crystalline RbNdPtSe3 at its relaxed geometry.

```
data_RbNdPtSe3
_chemical_formula_sum 'Rb4 Nd4 Pt4 Se12'
_cell_length_a 4.149
_cell_length_b 16.598
_cell_length_c 10.520
_cell_angle_alpha 90.00
_cell_angle_beta 90.00
_cell_angle_gamma 90.00
_symmetry_space_group_name_H-M 'C m c m'
_symmetry_Int_Tables_number 63
_symmetry_space_group_name_Hall '-C 2c 2'
loop_
_atom_site_label
_atom_site_type_symbol
_atom_site_fract_x
_atom_site_fract_y
_atom_site_fract_z
Rb1 Rb 0.000 0.247 0.250
Nd1 Nd 0.000 0.000 0.000
Pt1 Pt 0.000 0.492 0.750
Se1 Se 0.000 0.084 0.750
Se2 Se 0.000 0.383 0.584
```

Values from the calculation:
**E_tot**: -4.824 eV per atom


The following is a DFT calculation (PBE) of crystalline RbNdTe3Pt at its relaxed geometry.

```
data_RbNdTe3Pt
_chemical_formula_sum 'Rb4 Nd4 Te12 Pt4'
_cell_length_a 4.374
_cell_length_b 18.135
_cell_length_c 10.693
_cell_angle_alpha 90.00
_cell_angle_beta 90.00
_cell_angle_gamma 90.00
_symmetry_space_group_name_H-M 'C m c m'
_symmetry_Int_Tables_number 63
_symmetry_space_group_name_Hall '-C 2c 2'
loop_
_atom_site_label
_atom_site_type_symbol
_atom_site_fract_x
_atom_site_fract_y
_atom_site_fract_z
Rb1 Rb 0.000 0.249 0.250
Nd1 Nd 0.000 0.500 0.000
Te1 Te 0.000 0.116 0.590
Te2 Te 0.000 0.411 0.750
Pt1 Pt 0.000 0.003 0.750
```

Values from the calculation:
**E_tot**: -4.481 eV per atom


The following is a DFT calculation (PBE) of crystalline NdRePt at its relaxed geometry.

```
data_NdRePt
_chemical_formula_sum 'Nd4 Re4 Pt4'
_cell_length_a 6.575
_cell_length_b 6.575
_cell_length_c 6.575
_cell_angle_alpha 90.00
_cell_angle_beta 90.00
_cell_angle_gamma 90.00
_symmetry_space_group_name_H-M 'F -4 3 m'
_symmetry_Int_Tables_number 216
_symmetry_space_group_name_Hall 'F -4 2 3'
loop_
_atom_site_label
_atom_site_type_symbol
_atom_site_fract_x
_atom_site_fract_y
_atom_site_fract_z
Nd1 Nd 0.000 0.000 0.000
Re1 Re 0.000 0.000 0.500
Pt1 Pt 0.250 0.250 0.250
```

Values from the calculation:
**E_form**: 0.493 eV per atom


The following is a DFT calculation (PBE) of crystalline Nd2SbPt8 at its relaxed geometry.

```
data_Nd2SbPt8
_chemical_formula_sum 'Nd4 Sb2 Pt16'
_cell_length_a 4.332
_cell_length_b 17.873
_cell_length_c 5.575
_cell_angle_alpha 90.00
_cell_angle_beta 90.00
_cell_angle_gamma 90.00
_symmetry_space_group_name_H-M 'A m m 2'
_symmetry_Int_Tables_number 38
loop_
_symmetry_equiv_pos_as_xyz
'x,y,z'
'-x,-y,z'
'-x,y,z'
'x,-y,z'
'x,y+1/2,z+1/2'
'-x,-y+1/2,z+1/2'
'-x,y+1/2,z+1/2'
'x,-y+1/2,z+1/2'
loop_
_atom_site_label
_atom_site_type_symbol
_atom_site_fract_x
_atom_site_fract_y
_atom_site_fract_z
Nd1 Nd 0.000 0.128 0.000
Sb1 Sb 0.500 0.000 0.294
Pt1 Pt 0.000 0.000 0.560
Pt2 Pt 0.000 0.204 0.517
Pt3 Pt 0.500 0.000 0.858
Pt4 Pt 0.500 0.118 0.548
Pt5 Pt 0.500 0.247 0.270
```

Values from the calculation:
**E_tot**: -6.387 eV per atom


The following is a DFT calculation (PBE) of crystalline NdSnSbPt2 at its relaxed geometry.

```
data_NdSnSbPt2
_chemical_formula_sum 'Nd2 Sn2 Sb2 Pt4'
_cell_length_a 4.539
_cell_length_b 4.539
_cell_length_c 10.952
_cell_angle_alpha 90.00
_cell_angle_beta 90.00
_cell_angle_gamma 90.00
_symmetry_space_group_name_H-M 'P 4/n m m'
_symmetry_Int_Tables_number 129
loop_
_symmetry_equiv_pos_as_xyz
'x,y,z'
'-x,-y,-z'
'-y+1/2,x,z'
'y+1/2,-x,-z'
'-x+1/2,-y+1/2,z'
'x+1/2,y+1/2,-z'
'y,-x+1/2,z'
'-y,x+1/2,-z'
'x+1/2,-y,-z'
'-x+1/2,y,z'
'-y,-x,-z'
'y,x,z'
'-x,y+1/2,-z'
'x,-y+1/2,z'
'y+1/2,x+1/2,-z'
'-y+1/2,-x+1/2,z'
loop_
_atom_site_label
_atom_site_type_symbol
_atom_site_fract_x
_atom_site_fract_y
_atom_site_fract_z
Nd1 Nd 0.250 0.250 0.233
Sn1 Sn 0.250 0.750 0.500
Sb1 Sb 0.250 0.250 0.868
Pt1 Pt 0.250 0.250 0.632
Pt2 Pt 0.250 0.750 0.000
```

Values from the calculation:
**E_tot**: -5.855 eV per atom


The following is a DFT calculation (PBE) of crystalline NdSiPt2 at its relaxed geometry.

```
data_NdSiPt2
_chemical_formula_sum 'Nd2 Si2 Pt4'
_cell_length_a 4.287
_cell_length_b 6.170
_cell_length_c 6.581
_cell_angle_alpha 90.00
_cell_angle_beta 90.00
_cell_angle_gamma 90.00
_symmetry_space_group_name_H-M 'P m c 21'
_symmetry_Int_Tables_number 26
loop_
_symmetry_equiv_pos_as_xyz
'x,y,z'
'-x,-y,z+1/2'
'-x,y,z'
'x,-y,z+1/2'
loop_
_atom_site_label
_atom_site_type_symbol
_atom_site_fract_x
_atom_site_fract_y
_atom_site_fract_z
Nd1 Nd 0.000 0.226 0.000
Si1 Si 0.500 0.274 0.611
Pt1 Pt 0.000 0.311 0.469
Pt2 Pt 0.500 0.060 0.297
```

Values from the calculation:
**E_tot**: -6.428 eV per atom


The following is a DFT calculation (PBE) of crystalline NdSi2Pt at its relaxed geometry.

```
data_NdSi2Pt
_chemical_formula_sum 'Nd2 Si4 Pt2'
_cell_length_a 4.218
_cell_length_b 4.612
_cell_length_c 8.588
_cell_angle_alpha 90.00
_cell_angle_beta 90.00
_cell_angle_gamma 90.00
_symmetry_space_group_name_H-M 'P m c 21'
_symmetry_Int_Tables_number 26
loop_
_symmetry_equiv_pos_as_xyz
'x,y,z'
'-x,-y,z+1/2'
'-x,y,z'
'x,-y,z+1/2'
loop_
_atom_site_label
_atom_site_type_symbol
_atom_site_fract_x
_atom_site_fract_y
_atom_site_fract_z
Nd1 Nd 0.000 0.044 0.000
Si1 Si 0.000 0.476 0.730
Si2 Si 0.500 0.189 0.726
Pt1 Pt 0.500 0.301 0.313
```

Values from the calculation:
**E_tot**: -6.042 eV per atom


The following is a DFT calculation (PBE) of crystalline Nd2SiPt at its relaxed geometry.

```
data_Nd2SiPt
_chemical_formula_sum 'Nd4 Si2 Pt2'
_cell_length_a 4.312
_cell_length_b 7.742
_cell_length_c 5.898
_cell_angle_alpha 90.00
_cell_angle_beta 90.00
_cell_angle_gamma 90.00
_symmetry_space_group_name_H-M 'P m n 21'
_symmetry_Int_Tables_number 31
loop_
_symmetry_equiv_pos_as_xyz
'x,y,z'
'-x+1/2,-y,z+1/2'
'-x,y,z'
'x+1/2,-y,z+1/2'
loop_
_atom_site_label
_atom_site_type_symbol
_atom_site_fract_x
_atom_site_fract_y
_atom_site_fract_z
Nd1 Nd 0.000 0.063 0.000
Nd2 Nd 0.000 0.584 0.243
Si1 Si 0.000 0.705 0.739
Pt1 Pt 0.000 0.211 0.491
```

Values from the calculation:
**E_tot**: -6.162 eV per atom


The following is a DFT calculation (PBE) of crystalline NdSiPt2 at its relaxed geometry.

```
data_NdSiPt2
_chemical_formula_sum 'Nd2 Si2 Pt4'
_cell_length_a 4.069
_cell_length_b 6.716
_cell_length_c 5.686
_cell_angle_alpha 90.00
_cell_angle_beta 90.00
_cell_angle_gamma 90.00
_symmetry_space_group_name_H-M 'P m n 21'
_symmetry_Int_Tables_number 31
loop_
_symmetry_equiv_pos_as_xyz
'x,y,z'
'-x+1/2,-y,z+1/2'
'-x,y,z'
'x+1/2,-y,z+1/2'
loop_
_atom_site_label
_atom_site_type_symbol
_atom_site_fract_x
_atom_site_fract_y
_atom_site_fract_z
Nd1 Nd 0.000 0.083 0.000
Si1 Si 0.000 0.601 0.241
Pt1 Pt 0.000 0.269 0.526
Pt2 Pt 0.000 0.649 0.709
```

Values from the calculation:
**E_tot**: -6.454 eV per atom


Q: Number 6 is which compound?
A: NdRePt


Please write out number 3 again, unchanged.
The following is a DFT calculation (PBE) of crystalline RbNdPt at its relaxed geometry.

```
data_RbNdPt
_chemical_formula_sum 'Rb4 Nd4 Pt4'
_cell_length_a 7.290
_cell_length_b 7.290
_cell_length_c 7.290
_cell_angle_alpha 90.00
_cell_angle_beta 90.00
_cell_angle_gamma 90.00
_symmetry_space_group_name_H-M 'F -4 3 m'
_symmetry_Int_Tables_number 216
_symmetry_space_group_name_Hall 'F -4 2 3'
loop_
_atom_site_label
_atom_site_type_symbol
_atom_site_fract_x
_atom_site_fract_y
_atom_site_fract_z
Rb1 Rb 0.000 0.000 0.000
Nd1 Nd 0.000 0.000 0.500
Pt1 Pt 0.250 0.250 0.750
```

Values from the calculation:
**Energy relative to the lowest polymorph listed for this composition**: 3.21 kcal/mol of atoms